Here is an optimized crystal structure of PrTmTl2O6 from Alexandria via LeMat-Bulk. Energies are from PBE-GGA.

Space group ... R3
Final energy ... -6.41 eV/atom

Cell lengths 5.8860, 5.8861, 6.1766 Å; angles 61.55, 61.54, 60.00 degrees
Fractional coordinates of all 10 atoms:
Pr 0.8038 0.8038 0.5885
O 0.6107 0.2166 0.2486
O 0.9241 0.6108 0.2486
O 0.7039 0.1368 0.7603
Tm 0.3122 0.3122 0.0633
O 0.2166 0.9241 0.2485
Tl 0.0247 0.0247 0.9260
O 0.3990 0.7039 0.7602
O 0.1368 0.3990 0.7603
Tl 0.5297 0.5297 0.4110


Here is an optimized crystal structure of CeI3Cl from Alexandria via LeMat-Bulk. Energies are from PBE-GGA.

Space group ... Imma
Final energy ... -3.79 eV/atom
Energy relative to the lowest polymorph listed for this composition ... 0 meV/atom
Density of states at the Fermi level ... 0.109 states/eV per atom

Cell lengths 8.6541, 8.6541, 8.6541 Å; angles 106.96, 103.08, 118.82 degrees
Site moments in Bohr magnetons follow the coordinates.
Fractional coordinates of all 10 atoms:
I 0.0132 0.2185 0.2947  -0.01
I 0.4684 0.7519 0.7839  -0.01
I 0.9238 0.7185 0.7053  -0.01
Cl 0.3697 0.2184 0.6513  0.00
I 0.9680 0.6845 0.2161  -0.01
I 0.4684 0.1845 0.2165  -0.01
Ce 0.4684 0.4684 0.5000  0.12
I 0.9680 0.2519 0.7835  -0.01
Cl 0.5671 0.7184 0.3487  0.00
Ce 0.9683 0.9684 0.5000  0.12


Here is an optimized crystal structure of HfRe3Sb from Alexandria via LeMat-Bulk. Energies are from PBE-GGA.

Space group ... Pm-3m
Final energy ... -8.26 eV/atom
Energy relative to the lowest polymorph listed for this composition ... 0 meV/atom
Density of states at the Fermi level ... 0.694 states/eV per atom

Cell lengths 4.7762, 4.7762, 4.7762 Å; angles 90.00, 90.00, 90.00 degrees
Fractional coordinates of all 5 atoms:
Re 0.0000 0.0000 0.5000
Hf 0.5000 0.5000 0.5000
Re 0.0000 0.5000 0.0000
Sb 0.0000 0.0000 0.0000
Re 0.5000 0.0000 0.0000


Here is an optimized crystal structure of P3OsO9 from Alexandria via LeMat-Bulk. Energies are from PBE-GGA.

Space group ... Cc
Final energy ... -7.25 eV/atom
Density of states at the Fermi level ... 0.253 states/eV per atom

Cell lengths 6.5721, 7.4946, 8.3835 Å; angles 74.02, 66.92, 63.99 degrees
Site moments in Bohr magnetons follow the coordinates.
Fractional coordinates of all 26 atoms:
O 0.6374 0.7642 0.6747  0.01
O 0.7526 0.0530 0.8019  0.00
P 0.7986 0.5476 0.6744  0.00
O 0.3925 0.5530 0.3019  0.00
O 0.8359 0.9470 0.3307  0.03
O 0.3499 0.3031 0.9028  0.02
O 0.1026 0.7308 0.8227  0.01
P 0.9795 0.0476 0.1744  0.00
O 0.0211 0.5176 0.5011  0.00
O 0.4441 0.8031 0.4028  0.02
O 0.9236 0.2642 0.1747  0.01
O 0.8863 0.4470 0.8307  0.03
O 0.5202 0.2143 0.5872  0.03
O 0.2549 0.9162 0.1550  0.00
O 0.6739 0.4162 0.6550  0.00
O 0.1612 0.0596 0.6723  0.02
Os 0.4946 0.0009 0.4969  0.79
O 0.6783 0.7143 0.0872  0.03
O 0.1070 0.5596 0.1723  0.02
O 0.3439 0.2308 0.3227  0.01
P 0.5586 0.2500 0.7394  0.00
O 0.9603 0.0176 0.0011  0.00
Os 0.0077 0.5009 0.9969  0.79
P 0.0144 0.9533 0.8187  0.00
P 0.2137 0.4533 0.3187  0.00
P 0.4520 0.7500 0.2394  0.00


Here is an optimized crystal structure of SrTiRh from Alexandria via LeMat-Bulk. Energies are from PBE-GGA.

Space group ... P4/nmm
Formation energy from the elements ... -42.66 kJ/mol of atoms
Final energy ... -6.08 eV/atom
Density of states at the Fermi level ... 1.033 states/eV per atom

Cell lengths 4.3162, 4.3162, 8.3296 Å; angles 90.00, 90.00, 90.00 degrees
Fractional coordinates of all 6 atoms:
Rh 0.0000 0.5000 0.3411
Ti 0.5000 0.5000 0.5000
Sr 0.5000 0.0000 0.1687
Sr 0.0000 0.5000 0.8313
Rh 0.5000 0.0000 0.6589
Ti 0.0000 0.0000 0.5000


Here is an optimized crystal structure of CaSnP2S from Alexandria via LeMat-Bulk. Energies are from PBE-GGA.

Space group ... P4/mmm
Final energy ... -3.59 eV/atom
Energy relative to the lowest polymorph listed for this composition ... 484 meV/atom
Density of states at the Fermi level ... 1.116 states/eV per atom

Cell lengths 5.1955, 5.1955, 5.1409 Å; angles 90.00, 90.00, 90.00 degrees
Site moments in Bohr magnetons follow the coordinates.
Fractional coordinates of all 5 atoms:
P 0.5000 0.0000 0.0000  0.07
S 0.0000 0.0000 0.5000  0.05
Sn 0.5000 0.5000 0.5000  -0.01
P 0.0000 0.5000 0.0000  0.07
Ca 0.0000 0.0000 0.0000  0.00